DFT (PBE) results for a relaxed SrPdO3 crystal.

Cell: 6.809 6.423 3.231 Å, 75.45 89.98 95.32°
Element x y z (fractional)
O 0.725 0.397 0.608
Pd 0.243 0.070 0.771
O 0.472 0.888 0.862
O 0.092 0.942 0.335
Sr 0.721 0.109 0.252
O 0.786 0.779 0.917
O 0.372 0.238 0.187
O 0.076 0.535 0.039
Pd 0.924 0.648 0.482
Sr 0.406 0.575 0.518

The total energy comes out at -5.617 eV/atom.